Entry 1:
An optimized crystal structure of NbRe2I, computed with PBE-GGA.

Computed properties:
Energy above the lowest structure with this stoichiometry (eV per atom): 0.000

abc: 4.629 4.629 4.629
angles: 60.00 60.00 60.00
Fractional coordinates of all 4 atoms:
Re: 0.750 0.750 0.750
Re: 0.250 0.250 0.250
I: 0.500 0.500 0.500
Nb: 0.000 0.000 0.000

Entry 2:
An optimized crystal structure of Nb2ReI, computed with PBE-GGA.

abc: 4.718 4.718 4.718
angles: 60.00 60.00 60.00
Fractional coordinates of all 4 atoms:
Nb: 0.250 0.250 0.250
Nb: 0.750 0.750 0.750
Re: 0.500 0.500 0.500
I: 0.000 0.000 0.000

Entry 3:
An optimized crystal structure of NbReRhI2, computed with PBE-GGA.

abc: 5.262 4.903 5.262
angles: 90.00 90.00 90.00
Fractional coordinates of all 5 atoms:
I: 0.500 0.000 0.000
I: 0.000 0.000 0.500
Nb: 0.000 0.500 0.000
Rh: 0.500 0.500 0.500
Re: 0.000 0.000 0.000

Entry 4:
An optimized crystal structure of NbReSbI2, computed with PBE-GGA.

Computed properties:
Energy above the lowest structure with this stoichiometry (eV per atom): 0.000

abc: 5.500 5.500 5.524
angles: 90.00 90.00 90.00
Last column: magnetic moment on the atom in μB.
Fractional coordinates of all 5 atoms:
Re: 0.500 0.500 0.500  4.06
Nb: 0.000 0.000 0.000  0.11
Sb: 0.000 0.000 0.500  -0.06
I: 0.000 0.500 0.000  0.04
I: 0.500 0.000 0.000  0.04

Entry 5:
An optimized crystal structure of NbReTe2I, computed with PBE-GGA.

Computed properties:
Energy above the lowest structure with this stoichiometry (eV per atom): 0.000

abc: 5.414 5.414 5.648
angles: 90.00 90.00 90.00
Last column: magnetic moment on the atom in μB.
Fractional coordinates of all 5 atoms:
Nb: 0.000 0.000 0.000  -0.15
I: 0.000 0.000 0.500  0.06
Re: 0.500 0.500 0.500  4.16
Te: 0.000 0.500 0.000  0.01
Te: 0.500 0.000 0.000  0.01

Entry 6:
An optimized crystal structure of Nb3RhI, computed with PBE-GGA.

Computed properties:
Energy above the lowest structure with this stoichiometry (eV per atom): 0.000

abc: 4.915 4.915 4.915
angles: 90.00 90.00 90.00
Fractional coordinates of all 5 atoms:
Nb: 0.000 0.000 0.500
Nb: 0.500 0.000 0.000
Nb: 0.000 0.500 0.000
I: 0.500 0.500 0.500
Rh: 0.000 0.000 0.000

Entry 7:
An optimized crystal structure of Nb2RhI, computed with PBE-GGA.

Computed properties:
Energy above the lowest structure with this stoichiometry (eV per atom): 0.000

abc: 4.683 4.683 4.683
angles: 60.00 60.00 60.00
Fractional coordinates of all 4 atoms:
Rh: 0.000 0.000 0.000
Nb: 0.250 0.250 0.250
Nb: 0.750 0.750 0.750
I: 0.500 0.500 0.500

Entry 8:
An optimized crystal structure of Nb2RhI, computed with PBE-GGA.

Computed properties:
Energy above the lowest structure with this stoichiometry (eV per atom): 0.488

abc: 5.983 5.983 7.426
angles: 66.24 66.24 90.00
Fractional coordinates of all 8 atoms:
Nb: 0.375 0.425 0.750
Nb: 0.875 0.825 0.750
Nb: 0.175 0.625 0.250
Nb: 0.575 0.125 0.250
I: 0.000 0.000 0.000
I: 0.750 0.250 0.500
Rh: 0.250 0.750 0.500
Rh: 0.500 0.500 0.000

Entry 9:
An optimized crystal structure of Nb3RhI, computed with PBE-GGA.

Computed properties:
Energy above the lowest structure with this stoichiometry (eV per atom): 0.843

abc: 4.948 4.948 4.948
angles: 90.00 90.00 90.00
Fractional coordinates of all 5 atoms:
Nb: 0.000 0.500 0.000
Nb: 0.000 0.000 0.500
Nb: 0.500 0.000 0.000
Rh: 0.500 0.500 0.500
I: 0.000 0.000 0.000

Entry 10:
An optimized crystal structure of NbRh2SI, computed with PBE-GGA.

abc: 4.826 5.275 4.826
angles: 90.00 90.00 90.00
Fractional coordinates of all 5 atoms:
Nb: 0.000 0.000 0.000
I: 0.000 0.500 0.000
Rh: 0.000 0.000 0.500
Rh: 0.500 0.000 0.000
S: 0.500 0.500 0.500

Entry 11:
An optimized crystal structure of NbSbRhI2, computed with PBE-GGA.

Computed properties:
Energy above the lowest structure with this stoichiometry (eV per atom): 0.000

abc: 5.403 5.403 5.056
angles: 90.00 90.00 90.00
Last column: magnetic moment on the atom in μB.
Fractional coordinates of all 5 atoms:
I: 0.500 0.000 0.000  -0.06
I: 0.000 0.500 0.000  -0.06
Nb: 0.500 0.500 0.500  2.70
Rh: 0.000 0.000 0.000  0.03
Sb: 0.000 0.000 0.500  -0.13

Entry 12:
An optimized crystal structure of NbSbRhI2, computed with PBE-GGA.

Computed properties:
Energy above the lowest structure with this stoichiometry (eV per atom): 0.131

abc: 5.421 5.421 5.461
angles: 90.00 90.00 90.00
Fractional coordinates of all 5 atoms:
Rh: 0.500 0.500 0.500
I: 0.000 0.500 0.000
I: 0.500 0.000 0.000
Sb: 0.000 0.000 0.500
Nb: 0.000 0.000 0.000

Entry 13:
An optimized crystal structure of NbSbRh2I, computed with PBE-GGA.

abc: 4.813 5.127 4.813
angles: 90.00 90.00 90.00
Fractional coordinates of all 5 atoms:
Sb: 0.500 0.500 0.500
Nb: 0.000 0.500 0.000
I: 0.000 0.000 0.000
Rh: 0.500 0.000 0.000
Rh: 0.000 0.000 0.500

Entry 14:
An optimized crystal structure of NbRh2WI, computed with PBE-GGA.

abc: 4.715 5.016 4.715
angles: 90.00 90.00 90.00
Last column: magnetic moment on the atom in μB.
Fractional coordinates of all 5 atoms:
Nb: 0.000 0.500 0.000  -0.59
Rh: 0.000 0.000 0.500  0.01
Rh: 0.500 0.000 0.000  0.00
W: 0.500 0.500 0.500  2.13
I: 0.000 0.000 0.000  0.04

Entry 15:
An optimized crystal structure of NbRu3I, computed with PBE-GGA.

Computed properties:
Energy above the lowest structure with this stoichiometry (eV per atom): 0.287

abc: 4.722 4.722 4.722
angles: 90.00 90.00 90.00
Fractional coordinates of all 5 atoms:
Ru: 0.500 0.000 0.000
Ru: 0.000 0.500 0.000
Ru: 0.000 0.000 0.500
I: 0.000 0.000 0.000
Nb: 0.500 0.500 0.500

Entry 16:
An optimized crystal structure of NbRu2I, computed with PBE-GGA.

Computed properties:
Energy above the lowest structure with this stoichiometry (eV per atom): 0.000

abc: 4.628 4.628 4.628
angles: 60.00 60.00 60.00
Last column: magnetic moment on the atom in μB.
Fractional coordinates of all 4 atoms:
Ru: 0.750 0.750 0.750  0.67
Ru: 0.250 0.250 0.250  0.67
Nb: 0.000 0.000 0.000  -0.39
I: 0.500 0.500 0.500  0.05

Entry 17:
An optimized crystal structure of NbRu2I, computed with PBE-GGA.

Computed properties:
Energy above the lowest structure with this stoichiometry (eV per atom): 0.113

abc: 5.695 5.695 7.264
angles: 66.92 66.92 90.00
Fractional coordinates of all 8 atoms:
Nb: 0.500 0.500 0.000
Nb: 0.250 0.750 0.500
Ru: 0.605 0.125 0.250
Ru: 0.875 0.855 0.750
Ru: 0.375 0.395 0.750
Ru: 0.145 0.625 0.250
I: 0.750 0.250 0.500
I: 0.000 0.000 0.000

Entry 18:
An optimized crystal structure of NbRu3I, computed with PBE-GGA.

Computed properties:
Energy above the lowest structure with this stoichiometry (eV per atom): 0.000

abc: 4.820 4.820 4.820
angles: 90.00 90.00 90.00
Last column: magnetic moment on the atom in μB.
Fractional coordinates of all 5 atoms:
Nb: 0.000 0.000 0.000  -0.34
I: 0.500 0.500 0.500  0.10
Ru: 0.000 0.000 0.500  1.08
Ru: 0.500 0.000 0.000  0.88
Ru: 0.000 0.500 0.000  1.33

Entry 19:
An optimized crystal structure of Nb3RuI, computed with PBE-GGA.

Computed properties:
Energy above the lowest structure with this stoichiometry (eV per atom): 0.000

abc: 4.900 4.900 4.900
angles: 90.00 90.00 90.00
Fractional coordinates of all 5 atoms:
Ru: 0.000 0.000 0.000
Nb: 0.000 0.500 0.000
Nb: 0.500 0.000 0.000
Nb: 0.000 0.000 0.500
I: 0.500 0.500 0.500

Entry 20:
An optimized crystal structure of NbRuI3, computed with PBE-GGA.

Computed properties:
Energy above the lowest structure with this stoichiometry (eV per atom): 0.000

abc: 5.340 5.340 5.340
angles: 90.00 90.00 90.00
Last column: magnetic moment on the atom in μB.
Fractional coordinates of all 5 atoms:
I: 0.500 0.000 0.000  -0.09
I: 0.000 0.000 0.500  -0.05
I: 0.000 0.500 0.000  -0.09
Nb: 0.500 0.500 0.500  2.83
Ru: 0.000 0.000 0.000  -0.57

Entry 21:
An optimized crystal structure of Nb3RuI, computed with PBE-GGA.

Computed properties:
Energy above the lowest structure with this stoichiometry (eV per atom): 1.009

abc: 4.926 4.926 4.926
angles: 90.00 90.00 90.00
Fractional coordinates of all 5 atoms:
I: 0.000 0.000 0.000
Nb: 0.500 0.000 0.000
Nb: 0.000 0.000 0.500
Nb: 0.000 0.500 0.000
Ru: 0.500 0.500 0.500

Entry 22:
An optimized crystal structure of NbSbRu2I, computed with PBE-GGA.

abc: 4.826 5.267 4.826
angles: 90.00 90.00 90.00
Fractional coordinates of all 5 atoms:
Sb: 0.500 0.500 0.500
I: 0.000 0.500 0.000
Ru: 0.000 0.000 0.500
Ru: 0.500 0.000 0.000
Nb: 0.000 0.000 0.000

Entry 23:
An optimized crystal structure of NbSbRuI2, computed with PBE-GGA.

Computed properties:
Energy above the lowest structure with this stoichiometry (eV per atom): 0.000

abc: 5.491 5.491 5.492
angles: 90.00 90.00 90.00
Last column: magnetic moment on the atom in μB.
Fractional coordinates of all 5 atoms:
Nb: 0.000 0.000 0.000  0.23
Ru: 0.500 0.500 0.500  2.69
I: 0.500 0.000 0.000  0.03
I: 0.000 0.500 0.000  0.03
Sb: 0.000 0.000 0.500  -0.05

Entry 24:
An optimized crystal structure of NbSi2RuI, computed with PBE-GGA.

abc: 5.018 4.978 5.018
angles: 90.00 90.00 90.00
Fractional coordinates of all 5 atoms:
Ru: 0.500 0.500 0.500
Si: 0.000 0.000 0.500
Si: 0.500 0.000 0.000
I: 0.000 0.000 0.000
Nb: 0.000 0.500 0.000

Entry 25:
An optimized crystal structure of TaNb2RuI, computed with PBE-GGA.

abc: 4.840 4.840 4.930
angles: 90.00 90.00 90.00
Fractional coordinates of all 5 atoms:
Ru: 0.000 0.000 0.000
Nb: 0.000 0.500 0.000
Nb: 0.500 0.000 0.000
Ta: 0.500 0.500 0.500
I: 0.000 0.000 0.500

Entry 26:
An optimized crystal structure of Ta2NbRuI, computed with PBE-GGA.

abc: 4.810 5.040 4.810
angles: 90.00 90.00 90.00
Fractional coordinates of all 5 atoms:
Ta: 0.500 0.000 0.000
Ta: 0.000 0.000 0.500
I: 0.000 0.500 0.000
Nb: 0.500 0.500 0.500
Ru: 0.000 0.000 0.000

Entry 27:
An optimized crystal structure of NbS2I, computed with PBE-GGA.

Computed properties:
Energy above the lowest structure with this stoichiometry (eV per atom): 1.051

abc: 4.704 4.704 4.704
angles: 60.00 60.00 60.00
Fractional coordinates of all 4 atoms:
I: 0.500 0.500 0.500
Nb: 0.000 0.000 0.000
S: 0.750 0.750 0.750
S: 0.250 0.250 0.250

Entry 28:
An optimized crystal structure of NbS2I, computed with PBE-GGA.

Computed properties:
Energy above the lowest structure with this stoichiometry (eV per atom): 0.397

abc: 7.025 7.025 7.116
angles: 60.42 60.42 90.00
Fractional coordinates of all 8 atoms:
S: 0.875 0.740 0.750
S: 0.260 0.625 0.250
S: 0.490 0.125 0.250
S: 0.375 0.510 0.750
I: 0.000 0.000 0.000
I: 0.750 0.250 0.500
Nb: 0.500 0.500 0.000
Nb: 0.250 0.750 0.500

Entry 29:
An optimized crystal structure of NbS3I, computed with PBE-GGA.

Computed properties:
Energy above the lowest structure with this stoichiometry (eV per atom): 0.000

abc: 4.868 4.868 4.868
angles: 90.00 90.00 90.00
Fractional coordinates of all 5 atoms:
S: 0.000 0.500 0.000
S: 0.500 0.000 0.000
S: 0.000 0.000 0.500
Nb: 0.000 0.000 0.000
I: 0.500 0.500 0.500

Number 1: ΔE_f (raw) 4.09 eV/f.u.. Number 2: ΔE_f (raw) 3.05 eV/f.u.. Number 3: ΔE_f (raw) 8.66 eV/f.u.. Number 4: ΔE_f (raw) 7.30 eV/f.u.. Number 5: ΔE_f (raw) 6.49 eV/f.u.. Number 6: ΔE_f (raw) 5.40 eV/f.u.. Number 7: ΔE_f (raw) 1.41 eV/f.u.. Number 8: ΔE_f (raw) 3.37 eV/f.u.. Number 9: ΔE_f (raw) 9.61 eV/f.u.. Number 10: ΔE_f (raw) 5.87 eV/f.u.. Number 11: ΔE_f (raw) 4.32 eV/f.u.. Number 12: ΔE_f (raw) 4.97 eV/f.u.. Number 13: ΔE_f (raw) 5.36 eV/f.u.. Number 14: ΔE_f (raw) 9.32 eV/f.u.. Number 15: ΔE_f (raw) 9.58 eV/f.u.. Number 16: ΔE_f (raw) 3.05 eV/f.u.. Number 17: ΔE_f (raw) 3.51 eV/f.u.. Number 18: ΔE_f (raw) 8.15 eV/f.u.. Number 19: ΔE_f (raw) 5.44 eV/f.u.. Number 20: ΔE_f (raw) 5.03 eV/f.u.. Number 21: ΔE_f (raw) 10.48 eV/f.u.. Number 22: ΔE_f (raw) 6.43 eV/f.u.. Number 23: ΔE_f (raw) 6.01 eV/f.u.. Number 24: ΔE_f (raw) 12.00 eV/f.u.. Number 25: ΔE_f (raw) 7.89 eV/f.u.. Number 26: ΔE_f (raw) 7.96 eV/f.u.. Number 27: ΔE_f (raw) 1.52 eV/f.u.. Number 28: ΔE_f (raw) -1.09 eV/f.u.. Number 29: ΔE_f (raw) -0.45 eV/f.u..